# 1
The following is a DFT calculation (PBE) of a relaxed structure of Sr6SbAs2I3.

```
Sr6SbAs2I3
1.0
4.077 -7.062 0.000
4.077 7.062 0.000
-2.716 0.000 7.926
Sr Sb As I
6 1 2 3
direct
0.086 0.433 0.798
0.221 0.221 0.202
0.433 0.086 0.798
0.567 0.914 0.202
0.779 0.779 0.798
0.914 0.567 0.202
0.500 0.500 0.000
0.167 0.833 0.000
0.833 0.167 0.000
0.000 0.000 0.500
0.334 0.666 0.500
0.666 0.334 0.500
```

Results
SG: No. 12
Raw total energy (eV/atom): -3.7550

---

# 2
The following is a DFT calculation (PBE) of a relaxed structure of Sr8SbAs3I4.

```
Sr8SbAs3I4
1.0
4.690 2.708 7.915
-4.690 2.708 7.915
0.000 -5.415 7.915
Sr Sb As I
8 1 3 4
direct
0.224 0.739 0.739
0.233 0.233 0.233
0.261 0.261 0.776
0.261 0.776 0.261
0.739 0.224 0.739
0.739 0.739 0.224
0.767 0.767 0.767
0.776 0.261 0.261
0.500 0.500 0.500
0.000 0.000 0.500
0.000 0.500 0.000
0.500 0.000 0.000
0.000 0.000 0.000
0.000 0.500 0.500
0.500 0.000 0.500
0.500 0.500 0.000
```

Results
SG: No. 166
Raw total energy (eV/atom): -3.7733

---

# 3
The following is a DFT calculation (PBE) of a relaxed structure of TaSbAsI2.

```
TaSbAsI2
1.0
5.412 0.000 0.000
0.000 5.412 0.000
0.000 0.000 5.549
Ta Sb As I
1 1 1 2
direct
0.000 0.000 0.000
0.500 0.500 0.000
0.500 0.500 0.500
0.000 0.500 0.500
0.500 0.000 0.500
```

Results
SG: No. 123
Raw total energy (eV/atom): -3.4197
Distance to the lowest polymorph of the same formula (meV/atom): 609.4